V2MoO8 PBE with a Hubbard U optimized geometry; offset from the most stable computed form = 180 meV/atom; space-group type = C2/m, No. 12; electronic total energy = -7.1117 eV per atom
1.0
5.4710 -3.4336 0.0000
5.4710 3.4336 0.0000
-0.5328 0.0000 5.1480
V Mo O
2 1 8
Direct
0.1729 0.1729 0.1378
0.8271 0.8271 0.8622
0.0000 0.0000 0.5000
0.0849 0.7183 0.6805
0.1239 0.1239 0.7954
0.2817 0.9151 0.3195
0.3208 0.3208 0.1955
0.6792 0.6792 0.8045
0.7183 0.0849 0.6805
0.8761 0.8761 0.2046
0.9151 0.2817 0.3195